Below is crystalline AcLa3Tb4 at its relaxed geometry, with properties calculated at the PBE-GGA level.

Values from the calculation:
SG = Immm, No. 71
Raw total energy = -36.23 eV for the cell shown
Size of the total moment = 0.000 μB per atom

Cell: 3.5362 9.1898 9.1898 Å, 81.24 78.91 78.91°
Closest atoms and distances in Å follow each position.
Atoms (fractional coordinates):
Ac  0.5000  0.0000  0.0000  2 Ac 3.54, 4 Tb 3.54, 4 La 3.74
Tb  0.6358  0.1170  0.6113  1 La 3.37, 5 Tb 3.54-3.67, 1 Ac 3.54
Tb  0.3642  0.8830  0.3887  1 La 3.37, 5 Tb 3.54-3.67, 1 Ac 3.54
Tb  0.3642  0.3887  0.8830  1 La 3.37, 5 Tb 3.54-3.67, 1 Ac 3.54
Tb  0.6358  0.6113  0.1170  1 La 3.37, 5 Tb 3.54-3.67, 1 Ac 3.54
La  0.7560  0.2440  0.2440  2 Tb 3.37, 2 La 3.54, 2 Ac 3.74
La  0.2440  0.7560  0.7560  2 Tb 3.37, 2 La 3.54, 2 Ac 3.74
La  0.0000  0.5000  0.5000  6 La 3.54-3.88, 8 Tb 3.90

Below is crystalline Ac2LaTb at its relaxed geometry, with properties calculated at the PBE-GGA level.

Values from the calculation:
SG = P4/mmm, No. 123
Energy above the lowest structure with this stoichiometry = 0.010 eV per atom
Raw total energy = -17.62 eV for the cell shown
Size of the total moment = 0.000 μB per atom

Cell: 3.8602 3.8602 10.5859 Å, 90.00 90.00 90.00°
Closest atoms and distances in Å follow each position.
Atoms (fractional coordinates):
Ac  0.0000  0.0000  0.7570  4 Tb 3.75, 4 La 3.85, 4 Ac 3.86
Ac  0.0000  0.0000  0.2430  4 Tb 3.75, 4 La 3.85, 4 Ac 3.86
Tb  0.5000  0.5000  0.0000  8 Ac 3.75, 4 Tb 3.86
La  0.5000  0.5000  0.5000  8 Ac 3.85, 4 La 3.86

Below is crystalline Ac6La5Tb2 at its relaxed geometry, with properties calculated at the PBE-GGA level.

Values from the calculation:
SG = Pbam, No. 55
Raw total energy = -113.93 eV for the cell shown
Size of the total moment = 0.000 μB per atom

Cell: 3.7842 11.5076 24.1886 Å, 90.00 90.00 90.00°
Closest atoms and distances in Å follow each position.
Atoms (fractional coordinates):
Ac  0.0000  0.1446  0.3838  1 Tb 3.56, 6 La 3.78-3.97, 2 Ac 3.78
Ac  0.0000  0.8554  0.6162  1 Tb 3.56, 6 La 3.78-3.97, 2 Ac 3.78
Ac  0.0000  0.6446  0.1162  1 Tb 3.56, 6 La 3.78-3.97, 2 Ac 3.78
Ac  0.0000  0.3554  0.8838  1 Tb 3.56, 6 La 3.78-3.97, 2 Ac 3.78
Ac  0.5000  0.3347  0.1353  2 Tb 3.72, 6 Ac 3.78-4.11, 4 La 3.78-4.03
Ac  0.5000  0.6653  0.8647  2 Tb 3.72, 6 Ac 3.78-4.11, 4 La 3.78-4.03
Ac  0.5000  0.8347  0.3647  2 Tb 3.72, 6 Ac 3.78-4.11, 4 La 3.78-4.03
Ac  0.5000  0.1653  0.6353  2 Tb 3.72, 6 Ac 3.78-4.11, 4 La 3.78-4.03
Ac  0.0000  0.5213  0.3872  1 Tb 3.60, 6 La 3.78-3.90, 2 Ac 3.78
Ac  0.0000  0.4787  0.6128  1 Tb 3.60, 6 La 3.78-3.90, 2 Ac 3.78
Ac  0.0000  0.0213  0.1128  1 Tb 3.60, 6 La 3.78-3.90, 2 Ac 3.78
Ac  0.0000  0.9787  0.8872  1 Tb 3.60, 6 La 3.78-3.90, 2 Ac 3.78
La  0.5000  0.3342  0.4965  7 Ac 3.78-3.97, 4 La 3.78-3.85
La  0.5000  0.6658  0.5035  7 Ac 3.78-3.97, 4 La 3.78-3.85
La  0.5000  0.8342  0.0035  7 Ac 3.78-3.97, 4 La 3.78-3.85
La  0.5000  0.1658  0.9965  7 Ac 3.78-3.97, 4 La 3.78-3.85
La  0.5000  0.5845  0.2519  4 Tb 3.46-3.48, 2 La 3.78, 4 Ac 3.85
La  0.5000  0.4155  0.7481  4 Tb 3.46-3.48, 2 La 3.78, 4 Ac 3.85
La  0.5000  0.0845  0.2481  4 Tb 3.46-3.48, 2 La 3.78, 4 Ac 3.85
La  0.5000  0.9155  0.7519  4 Tb 3.46-3.48, 2 La 3.78, 4 Ac 3.85
La  0.5000  0.5000  0.0000  6 Ac 3.78, 4 La 3.78-3.85
La  0.5000  0.0000  0.5000  6 Ac 3.78, 4 La 3.78-3.85
Tb  0.0000  0.3345  0.2677  4 La 3.46-3.48, 4 Ac 3.56-3.72, 2 Tb 3.78
Tb  0.0000  0.6655  0.7323  4 La 3.46-3.48, 4 Ac 3.56-3.72, 2 Tb 3.78
Tb  0.0000  0.8345  0.2323  4 La 3.46-3.48, 4 Ac 3.56-3.72, 2 Tb 3.78
Tb  0.0000  0.1655  0.7677  4 La 3.46-3.48, 4 Ac 3.56-3.72, 2 Tb 3.78

Below is crystalline AcLa4Tb5 at its relaxed geometry, with properties calculated at the PBE-GGA level.

Values from the calculation:
SG = P4/mmm, No. 123
Energy above the lowest structure with this stoichiometry = 0.011 eV per atom
Raw total energy = -46.67 eV for the cell shown
Size of the total moment = 0.000 μB per atom

Cell: 3.7373 3.7373 25.2354 Å, 90.00 90.00 90.00°
Closest atoms and distances in Å follow each position.
Atoms (fractional coordinates):
Ac  0.0000  0.0000  0.0000  4 Ac 3.74, 8 Tb 3.74
La  0.0000  0.0000  0.2033  8 Tb 3.63-3.64, 4 La 3.74
La  0.0000  0.0000  0.4010  8 Tb 3.63-3.64, 4 La 3.74
La  0.0000  0.0000  0.5990  8 Tb 3.63-3.64, 4 La 3.74
La  0.0000  0.0000  0.7967  8 Tb 3.63-3.64, 4 La 3.74
Tb  0.5000  0.5000  0.1049  4 La 3.63, 4 Tb 3.74, 4 Ac 3.74
Tb  0.5000  0.5000  0.3023  8 La 3.63-3.64, 4 Tb 3.74
Tb  0.5000  0.5000  0.5000  8 La 3.64, 4 Tb 3.74
Tb  0.5000  0.5000  0.6977  8 La 3.63-3.64, 4 Tb 3.74
Tb  0.5000  0.5000  0.8951  4 La 3.63, 4 Tb 3.74, 4 Ac 3.74